Compound: LiMg2Cr
Source: Alexandria via LeMat-Bulk
Functional: PBE-GGA
Structure: optimized geometry

Results
Symmetry = No. 47
Electronic total energy = -3.423 eV per atom
N(E_F) = 0.656 states/eV per atom

Unit cell a=3.3199 b=4.6808 c=4.7786 alpha=90.00 beta=90.00 gamma=90.00
Fractional coordinates of all 4 atoms:
Li  0.0000  0.0000  0.0000
Mg  0.5000  0.0000  0.5000
Mg  0.5000  0.5000  0.0000
Cr  0.0000  0.5000  0.5000

=====

Compound: PmUCl6
Source: Alexandria via LeMat-Bulk
Functional: PBE-GGA
Structure: optimized geometry

Results
Symmetry = No. 148
N(E_F) = 0.245 states/eV per atom
Formation energy without anion corrections = -1498.6 kJ/mol of formula units

Unit cell a=7.5149 b=7.5149 c=7.5149 alpha=54.86 beta=54.86 gamma=54.86
Fractional coordinates of all 8 atoms:
Pm  0.0000  0.0000  0.0000
U  0.5000  0.5000  0.5000
Cl  0.1012  0.3964  0.7510
Cl  0.2490  0.8988  0.6036
Cl  0.3964  0.7510  0.1012
Cl  0.6036  0.2490  0.8988
Cl  0.7510  0.1012  0.3964
Cl  0.8988  0.6036  0.2490

=====

Compound: CsSr2CoBr8
Source: Alexandria via LeMat-Bulk
Functional: PBE-GGA
Structure: optimized geometry

Results
Symmetry = No. 2
Formation energy without anion corrections = -1690.3 kJ/mol of formula units

Unit cell a=6.8567 b=7.7855 c=8.6089 alpha=71.76 beta=89.45 gamma=89.50
Fractional coordinates of all 12 atoms:
Cs  0.0000  0.0000  0.0000
Sr  0.4862  0.5164  0.7375
Sr  0.5138  0.4836  0.2625
Co  0.0000  0.5000  0.5000
Br  0.0103  0.5185  0.7783
Br  0.2461  0.7326  0.4149
Br  0.2483  0.2657  0.5693
Br  0.4989  0.7762  0.9336
Br  0.5011  0.2238  0.0664
Br  0.7517  0.7343  0.4307
Br  0.7539  0.2674  0.5851
Br  0.9897  0.4815  0.2217

=====

Compound: SmSnN
Source: Alexandria via LeMat-Bulk
Functional: PBE-GGA
Structure: optimized geometry

Results
Symmetry = No. 63
N(E_F) = 0.404 states/eV per atom
Formation energy without anion corrections = -74.6 kJ/mol of formula units

Unit cell a=5.6385 b=5.6385 c=6.4543 alpha=90.00 beta=90.00 gamma=143.34
Fractional coordinates of all 6 atoms:
Sm  0.2216  0.7784  0.7500
Sm  0.7784  0.2216  0.2500
Sn  0.5000  0.5000  0.0000
Sn  0.5000  0.5000  0.5000
N  0.1406  0.8594  0.2500
N  0.8594  0.1406  0.7500

=====

Compound: Ce2HoF8
Source: Alexandria via LeMat-Bulk
Functional: PBE-GGA
Structure: optimized geometry

Results
Symmetry = No. 12
N(E_F) = 1.097 states/eV per atom
Formation energy without anion corrections = -4099.5 kJ/mol of formula units

Unit cell a=7.7452 b=7.7452 c=5.4060 alpha=108.82 beta=108.82 gamma=29.94
Fractional coordinates of all 11 atoms:
Ce  0.1772  0.1772  0.1991
Ce  0.8228  0.8228  0.8009
Ho  0.5000  0.5000  0.5000
F  0.0241  0.0241  0.3023
F  0.2195  0.2195  0.7973
F  0.3533  0.3533  0.5441
F  0.4049  0.4049  0.0838
F  0.5951  0.5951  0.9162
F  0.6467  0.6467  0.4559
F  0.7805  0.7805  0.2027
F  0.9759  0.9759  0.6977

=====

Compound: CeCd3Ag3
Source: Alexandria via LeMat-Bulk
Functional: PBE-GGA
Structure: optimized geometry

Results
Symmetry = No. 225
Electronic total energy = -1.706 eV per atom
N(E_F) = 2.273 states/eV per atom

Unit cell a=9.2207 b=9.2207 c=9.2207 alpha=60.00 beta=60.00 gamma=60.00
Fractional coordinates of all 14 atoms:
Ce  0.2500  0.2500  0.2500
Ce  0.7500  0.7500  0.7500
Cd  0.1568  0.1568  0.8432
Cd  0.1568  0.8432  0.1568
Cd  0.1568  0.8432  0.8432
Cd  0.8432  0.1568  0.1568
Cd  0.8432  0.1568  0.8432
Cd  0.8432  0.8432  0.1568
Ag  0.3518  0.3518  0.6482
Ag  0.3518  0.6482  0.3518
Ag  0.3518  0.6482  0.6482
Ag  0.6482  0.3518  0.3518
Ag  0.6482  0.3518  0.6482
Ag  0.6482  0.6482  0.3518

=====

Compound: TaV2Ge
Source: Alexandria via LeMat-Bulk
Functional: PBE-GGA
Structure: optimized geometry

Results
Symmetry = No. 63
Electronic total energy = -8.819 eV per atom
N(E_F) = 0.622 states/eV per atom

Unit cell a=9.5369 b=9.5369 c=4.0875 alpha=90.00 beta=90.00 gamma=160.95
Fractional coordinates of all 8 atoms:
Ta  0.1100  0.8900  0.7500
Ta  0.8900  0.1100  0.2500
V  0.2581  0.7419  0.2500
V  0.4815  0.5185  0.7500
V  0.5185  0.4815  0.2500
V  0.7419  0.2581  0.7500
Ge  0.3453  0.6547  0.7500
Ge  0.6547  0.3453  0.2500

=====

Compound: Ge2PdI8
Source: Alexandria via LeMat-Bulk
Functional: PBE-GGA
Structure: optimized geometry

Results
Symmetry = No. 12
Formation energy without anion corrections = -201.8 kJ/mol of formula units

Unit cell a=9.4358 b=9.4358 c=7.9448 alpha=106.98 beta=106.98 gamma=56.81
Fractional coordinates of all 11 atoms:
Ge  0.2282  0.2282  0.3329
Ge  0.7718  0.7718  0.6671
Pd  0.0000  0.0000  0.0000
I  0.0926  0.6730  0.8881
I  0.1859  0.1859  0.6230
I  0.3270  0.9074  0.1119
I  0.4040  0.4040  0.4179
I  0.5960  0.5960  0.5821
I  0.6730  0.0926  0.8881
I  0.8141  0.8141  0.3770
I  0.9074  0.3270  0.1119

=====

Compound: Na2Bi3O8
Source: Alexandria via LeMat-Bulk
Functional: PBE-GGA
Structure: optimized geometry

Results
Symmetry = No. 12
N(E_F) = 0.173 states/eV per atom
Formation energy without anion corrections = -1333.7 kJ/mol of formula units

Unit cell a=6.7820 b=6.7820 c=5.7031 alpha=106.10 beta=106.10 gamma=60.30
Fractional coordinates of all 13 atoms:
Na  0.2121  0.2121  0.1330
Na  0.7879  0.7879  0.8670
Bi  0.2372  0.7628  0.5000
Bi  0.5000  0.5000  0.0000
Bi  0.7628  0.2372  0.5000
O  0.1096  0.1096  0.4427
O  0.1761  0.6128  0.1125
O  0.3872  0.8239  0.8875
O  0.3997  0.3997  0.5982
O  0.6003  0.6003  0.4018
O  0.6128  0.1761  0.1125
O  0.8239  0.3872  0.8875
O  0.8904  0.8904  0.5573

=====

Compound: Ba6Gd
Source: Alexandria via LeMat-Bulk
Functional: PBE-GGA
Structure: optimized geometry

Results
Symmetry = No. 229
Electronic total energy = -2.646 eV per atom
N(E_F) = 2.387 states/eV per atom

Unit cell a=8.0929 b=8.0929 c=8.0929 alpha=109.47 beta=109.47 gamma=109.47
Fractional coordinates of all 7 atoms:
Ba  0.2500  0.5000  0.7500
Ba  0.2500  0.7500  0.5000
Ba  0.5000  0.2500  0.7500
Ba  0.5000  0.7500  0.2500
Ba  0.7500  0.2500  0.5000
Ba  0.7500  0.5000  0.2500
Gd  0.0000  0.0000  0.0000

=====

Compound: Ta2HgOs
Source: Alexandria via LeMat-Bulk
Functional: PBE-GGA
Structure: optimized geometry

Results
Symmetry = No. 99
Electronic total energy = -8.633 eV per atom
N(E_F) = 0.451 states/eV per atom

Unit cell a=3.1754 b=3.1754 c=7.2075 alpha=90.00 beta=90.00 gamma=90.00
Fractional coordinates of all 4 atoms:
Ta  0.0000  0.0000  0.0000
Ta  0.5000  0.5000  0.2658
Hg  0.0000  0.0000  0.5359
Os  0.5000  0.5000  0.8099

=====

Compound: Ho2Ni4Ge3Rh
Source: Alexandria via LeMat-Bulk
Functional: PBE-GGA
Structure: optimized geometry

Results
Symmetry = No. 115
Electronic total energy = -5.967 eV per atom
N(E_F) = 0.980 states/eV per atom

Unit cell a=3.9588 b=3.9588 c=10.1959 alpha=90.00 beta=90.00 gamma=90.00
Fractional coordinates of all 10 atoms:
Ho  0.0000  0.5000  0.2504
Ho  0.5000  0.0000  0.7496
Ni  0.0000  0.0000  0.0000
Ni  0.0000  0.5000  0.6438
Ni  0.5000  0.0000  0.3562
Ni  0.5000  0.5000  0.0000
Ge  0.0000  0.5000  0.8712
Ge  0.5000  0.0000  0.1288
Ge  0.5000  0.5000  0.5000
Rh  0.0000  0.0000  0.5000

=====

Which formula does entry 5 have?
Ce2HoF8